No. 1
The following is a DFT calculation (PBE+U) of a relaxed Li4Ti2Ni3Sn3O16 crystal.

Output
- size of the total moment (μB/atom) = 0.14
- DFT total energy (eV/atom) = -6.1964

The structure in extended XYZ format:
```
28
Lattice="3.0555 5.2016 -0.0044 -3.0555 5.2016 -0.0044 0.0000 0.3510 9.6530" Properties=species:S:1:pos:R:3 pbc="T T T"
Li 0.0000 3.3709 1.0494
Li 0.0000 0.2044 0.0936
Li 0.0000 0.3106 4.8248
Li 0.0000 7.1595 5.7709
Ti 0.0000 3.5474 4.8893
Ti 0.0000 6.6721 0.1322
Ni 0.0000 2.0524 7.5534
Ni -1.4755 6.1556 2.7508
Ni 1.4755 6.1556 2.7508
Sn -1.5061 4.5861 7.5926
Sn 1.5061 4.5861 7.5926
Sn 0.0000 8.7400 2.7487
O -1.5460 4.5591 3.8745
O 0.0000 5.3154 6.3561
O 0.0000 3.7151 8.7022
O 0.0000 0.2973 6.6304
O 0.0000 0.2151 1.8996
O 1.5460 4.5591 3.8745
O -1.3670 2.9927 6.2339
O 1.3670 2.9927 6.2339
O 0.0000 9.0243 8.8149
O 0.0000 2.0269 3.9448
O -1.3543 7.6531 1.5512
O 1.3543 7.6531 1.5512
O 0.0000 6.9235 3.7498
O -1.4791 6.3810 8.7626
O 0.0000 5.3708 1.4418
O 1.4791 6.3810 8.7626
```

---

No. 2
The following is a DFT calculation (PBE+U) of a relaxed Li4Ti3Ni3Sn2O16 crystal.

Output
- size of the total moment (μB/atom) = 0.21
- DFT total energy (eV/atom) = -6.4960

The structure in extended XYZ format:
```
28
Lattice="5.9431 -0.0190 0.0061 2.9448 5.1529 -0.0143 0.0965 -0.0045 9.7708" Properties=species:S:1:pos:R:3 pbc="T T T"
Li 6.0342 3.4070 8.7433
Li 3.0970 5.1316 9.6745
Li 5.9786 0.0064 4.8332
Li 2.9958 1.6810 3.9055
Ti 5.8991 1.7268 2.0926
Ti 7.4062 4.2362 2.1035
Ti 4.4920 0.8582 7.0145
Ni 4.5041 4.2724 2.0673
Ni 1.5831 0.8613 6.9526
Ni 3.0263 3.4050 6.9481
Sn 5.9350 3.4445 4.8047
Sn 3.0067 1.7279 9.6591
O 5.8748 1.6793 5.8493
O 7.3059 2.6479 3.2719
O 6.0480 3.3578 1.0139
O 5.9234 0.0135 3.0056
O 0.1292 0.0815 7.8654
O 7.4925 4.2975 5.9036
O 4.6652 2.5874 3.3263
O 6.0404 4.9516 3.3331
O 4.4787 0.8460 1.0113
O 4.3946 4.3539 5.8658
O 3.1815 0.1459 8.2536
O 4.3729 2.4936 8.1748
O 3.0046 1.6148 5.9474
O 1.4031 0.8851 0.9776
O 1.7083 2.4443 8.1096
O 2.9037 3.4978 0.9455
```

---

No. 3
The following is a DFT calculation (PBE+U) of a relaxed Li4V2Ni3Sn3O16 crystal.

Output
- size of the total moment (μB/atom) = 0.21
- DFT total energy (eV/atom) = -5.9916

The structure in extended XYZ format:
```
28
Lattice="3.0296 5.3160 -0.0120 -3.0296 5.3160 -0.0120 0.0000 0.0015 9.6470" Properties=species:S:1:pos:R:3 pbc="T T T"
Li 0.0000 7.2890 8.6929
Li 0.0000 10.4291 9.4513
Li 0.0000 10.5711 4.8067
Li 0.0000 3.5036 3.8923
V 0.0000 7.2044 4.7943
V 0.0000 3.8650 9.3655
Ni 0.0000 8.7362 2.0701
Ni -1.4632 4.4796 6.8318
Ni 1.4632 4.4796 6.8318
Sn -1.4985 6.1662 2.0686
Sn 1.4985 6.1662 2.0686
Sn 0.0000 1.8892 6.9020
O -1.4237 6.2985 5.6567
O 0.0000 5.4154 3.3053
O 0.0000 7.0518 0.9655
O 0.0000 10.4910 3.0041
O 0.0000 0.0345 7.6677
O 1.4237 6.2985 5.6567
O -1.3102 7.7772 3.3953
O 1.3102 7.7772 3.3953
O 0.0000 1.5677 0.8955
O 0.0000 8.7320 5.6365
O -1.3001 2.8784 8.2349
O 1.3001 2.8784 8.2349
O 0.0000 3.6019 5.8346
O -1.4121 4.3453 0.8341
O 0.0000 5.2296 8.2697
O 1.4121 4.3453 0.8341
```

---

No. 4
The following is a DFT calculation (PBE+U) of a relaxed Li4V3Ni3Sn2O16 crystal.

Output
- size of the total moment (μB/atom) = 0.25
- DFT total energy (eV/atom) = -6.1721

The structure in extended XYZ format:
```
28
Lattice="5.9553 0.0072 -0.0117 -2.9616 5.1839 0.0421 -0.0032 -0.0786 9.7647" Properties=species:S:1:pos:R:3 pbc="T T T"
Li 3.0054 1.5772 8.7094
Li 5.8931 -0.0047 9.6329
Li 0.0037 0.0763 4.8539
Li 0.0086 3.2716 3.9656
V 1.4439 0.9176 2.0292
V 4.3045 0.7581 2.1987
V 0.0264 1.7629 7.0732
Ni 3.0170 3.4003 2.0846
Ni -1.4308 4.2711 6.9732
Ni 1.4713 4.2786 6.9696
Sn 2.9885 1.8300 4.9491
Sn -0.0005 3.4599 9.6579
O 1.4444 0.8958 5.8748
O 3.0415 0.0328 3.2191
O 3.0711 1.5794 1.0383
O 5.8826 0.0771 2.9645
O 0.0095 0.0923 7.8253
O 4.5273 0.9040 5.8814
O 1.6517 2.2949 3.2765
O 4.3376 2.3115 3.2837
O -0.0020 1.7391 1.0423
O 2.9913 3.6154 5.7719
O -1.2845 2.5109 8.2377
O 1.3159 2.5036 8.2342
O 0.0180 3.1936 5.9180
O -1.5113 4.4680 1.0439
O 0.0240 4.9249 8.2619
O 1.5389 4.4254 1.0360
```

---

No. 5
The following is a DFT calculation (PBE+U) of a relaxed SrLi4NiO4 crystal.

Output
- size of the total moment (μB/atom) = 0.20
- DFT total energy (eV/atom) = -4.9498

The structure in extended XYZ format:
```
80
Lattice="5.1894 0.0000 0.0000 0.0000 9.5989 0.0000 0.0000 0.0000 18.0177" Properties=species:S:1:pos:R:3 pbc="T T T"
Sr 3.9578 1.1798 9.3374
Sr 3.8263 1.1798 0.3285
Sr 1.3631 3.6197 9.3374
Sr 1.2316 3.6197 0.3285
Sr 3.9578 5.9793 17.6892
Sr 3.8263 5.9793 8.6804
Sr 1.2316 8.4191 8.6804
Sr 1.3631 8.4191 17.6892
Li 1.5731 1.4386 7.3621
Li 1.0216 1.4386 16.3710
Li 2.0434 0.4497 5.1288
Li 0.5513 0.4497 14.1377
Li 5.1308 1.6531 5.7545
Li 2.6534 1.6531 14.7634
Li 3.9532 1.7816 3.4638
Li 3.8310 1.7816 12.4727
Li 1.3585 3.0179 3.4638
Li 1.2363 3.0179 12.4727
Li 2.5361 3.1464 5.7545
Li 0.0587 3.1464 14.7634
Li 4.6381 4.3498 5.1288
Li 3.1460 4.3498 14.1377
Li 3.6163 3.3609 16.3710
Li 4.1678 3.3609 7.3621
Li 1.5731 6.2380 1.6468
Li 1.0216 6.2380 10.6557
Li 2.0434 5.2492 3.8800
Li 0.5513 5.2492 12.8889
Li 5.1308 6.4526 3.2544
Li 2.6534 6.4526 12.2632
Li 3.8310 6.5811 14.5539
Li 3.9532 6.5811 5.5450
Li 1.3585 7.8173 5.5450
Li 1.2363 7.8173 14.5539
Li 0.0587 7.9458 12.2632
Li 2.5361 7.9458 3.2544
Li 3.1460 9.1492 12.8889
Li 4.6381 9.1492 3.8800
Li 3.6163 8.1604 10.6557
Li 4.1678 8.1604 1.6468
Ni 1.3581 0.4275 2.3224
Ni 1.2366 0.4275 11.3312
Ni 3.9528 4.3720 2.3224
Ni 3.8313 4.3720 11.3312
Ni 1.3581 5.2269 6.6865
Ni 1.2366 5.2269 15.6954
Ni 3.9528 9.1715 6.6865
Ni 3.8313 9.1715 15.6954
O 3.3298 0.1668 2.5134
O 4.4544 0.1668 11.5223
O 1.2132 1.1654 0.4138
O 1.3815 1.1654 9.4227
O 0.6008 1.3033 3.9213
O 1.9939 1.3033 12.9302
O 3.3682 1.5349 6.6590
O 4.4159 1.5349 15.6679
O 0.7735 3.2645 6.6590
O 1.8212 3.2645 15.6679
O 3.1955 3.4962 3.9213
O 4.5886 3.4962 12.9302
O 3.9762 3.6341 9.4227
O 3.8080 3.6341 0.4138
O 0.7350 4.6326 2.5134
O 1.8597 4.6326 11.5223
O 3.3298 4.9663 6.4955
O 4.4544 4.9663 15.5044
O 1.3815 5.9649 17.6039
O 1.2132 5.9649 8.5950
O 0.6008 6.1027 5.0875
O 1.9939 6.1027 14.0964
O 3.3682 6.3344 2.3498
O 4.4159 6.3344 11.3587
O 1.8212 8.0640 11.3587
O 0.7735 8.0640 2.3498
O 3.1955 8.2957 5.0875
O 4.5886 8.2957 14.0964
O 3.8080 8.4335 8.5950
O 3.9762 8.4335 17.6039
O 0.7350 9.4321 6.4955
O 1.8597 9.4321 15.5044
```

---

No. 6
The following is a DFT calculation (PBE+U) of a relaxed Sr3Li2NiO6 crystal.

Output
- size of the total moment (μB/atom) = 0.00
- DFT total energy (eV/atom) = -5.2805

The structure in extended XYZ format:
```
12
Lattice="-0.3070 3.3632 -4.4850 -4.3942 -3.1927 1.4206 -2.1681 4.5772 3.5808" Properties=species:S:1:pos:R:3 pbc="T T T"
Sr -4.3920 1.8643 1.6987
Sr -2.4772 2.8834 -1.1822
Sr 0.0000 0.0000 0.0000
Li -3.3858 4.8016 0.3184
Li -3.4834 -0.0539 0.1981
Ni -1.0840 2.2886 1.7904
O -4.5860 1.0506 -0.7299
O -2.1354 0.9618 0.8674
O -4.4259 -0.7025 1.6079
O -4.7338 3.7859 -0.3509
O -2.2833 3.6971 1.2464
O -2.4433 5.4502 -1.0914
```

---

No. 7
The following is a DFT calculation (PBE+U) of a relaxed Li3TcNi2O6 crystal.

Output
- size of the total moment (μB/atom) = 0.50
- DFT total energy (eV/atom) = -5.7846

The structure in extended XYZ format:
```
12
Lattice="-0.9170 -4.5404 2.2969 4.6120 2.2772 0.5252 -2.8397 3.0828 3.0009" Properties=species:S:1:pos:R:3 pbc="T T T"
Li 2.2406 2.6454 2.3305
Li -1.3853 -1.8257 3.4925
Li 0.4276 0.4098 2.9115
Tc 0.0000 0.0000 0.0000
Ni 2.7712 0.0075 1.1150
Ni 0.9237 -2.2706 1.7071
O -0.2412 -0.4541 4.7300
O 2.1513 -1.0086 2.8326
O 1.0965 1.2737 1.0930
O 1.5252 1.7240 4.1639
O -1.2960 1.8282 2.9904
O -0.6699 -0.9044 1.6591
```

---

No. 8
The following is a DFT calculation (PBE+U) of a relaxed LiTc2NiO8 crystal.

Output
- size of the total moment (μB/atom) = 0.26
- DFT total energy (eV/atom) = -6.7636

The structure in extended XYZ format:
```
12
Lattice="-2.8941 1.9167 -4.6630 -1.8035 -4.7765 2.7795 -3.1903 3.0976 3.2533" Properties=species:S:1:pos:R:3 pbc="T T T"
Li 0.0000 0.0000 0.0000
Tc -3.6114 0.7351 -1.0800
Tc -4.2764 -0.4973 2.4497
Ni -1.5951 1.5488 1.6266
O -3.5379 1.6318 -2.6249
O -4.4675 -0.8305 -1.1921
O -2.0460 0.6438 -0.2212
O -5.8418 -0.4060 1.5909
O -3.2814 -1.4635 1.4350
O -4.6064 1.7012 -0.0653
O -4.3499 -1.3941 3.9947
O -3.4203 1.0682 2.5619
```